Below is a geometry-optimized BW2F structure, with properties calculated at the GGA+U level.

Cell lengths 4.088, 4.088, 4.088 Å; angles 60.00, 60.00, 60.00 degrees
Element x y z (fractional)
B1 0.000 0.000 0.000
W1 0.250 0.250 0.250
W2 0.750 0.750 0.750
F1 0.500 0.500 0.500

Output
The magnetization comes out at 0.0 μB/cell. For the density, the calculation gives 13660 kg/m³. The density of states at the Fermi level comes out at 0.94 states/eV/f.u. The calculated volume is 48 Å³/cell. The calculation puts the energy above the lowest structure with this stoichiometry at 0.0000 eV per atom. The space-group type is Fm-3m, No. 225.